Entry 1:
Computed, not measured: a relaxed structure of MnRe2Pb at the PBE-GGA level of DFT.

Properties
Magnetization, μB per cell: 3.74
Energy relative to the elements, meV per atom: 600

Lattice parameters (Å, degrees): 9.555 9.555 9.555 17.76 17.76 17.76
Positions (direct):
Re (0.251, 0.251, 0.251)
Re (0.990, 0.990, 0.990)
Pb (0.749, 0.749, 0.749)
Mn (0.510, 0.510, 0.510)

Entry 2:
Computed, not measured: a relaxed structure of MnRe2Pb at the PBE-GGA level of DFT.

Properties
Magnetization, μB per cell: 3.36
Energy relative to the elements, meV per atom: 843

Lattice parameters (Å, degrees): 4.540 4.540 4.540 60.00 60.00 60.00
Positions (direct):
Re (0.000, 0.000, 0.000)
Re (0.250, 0.250, 0.250)
Mn (0.500, 0.500, 0.500)
Pb (0.750, 0.750, 0.750)

Entry 3:
Computed, not measured: a relaxed structure of MnRe2Pb at the PBE-GGA level of DFT.

Properties
Magnetization, μB per cell: 3.43
Energy relative to the elements, meV per atom: 578

Lattice parameters (Å, degrees): 2.958 3.898 5.939 90.00 90.00 90.00
Positions (direct):
Re (0.000, 0.000, 0.051)
Re (0.500, 0.500, 0.242)
Mn (0.000, 0.000, 0.468)
Pb (0.500, 0.500, 0.739)

Q: Among the records above, which one has the highest magnetization?
A: number 1

Q: Among the records above, which one has the highest energy relative to the elements?
A: number 2

Q: Among the records above, which one has the lowest energy relative to the elements?
A: number 3

Q: Which of these has the lowest energy relative to the elements?
A: number 3